Below is an optimized crystal structure of ErSi, with properties calculated at the GGA-PBE level.

The structure belongs to space group P-6m2 (No. 187); the cell edges are 3.6025, 3.6025 and 4.1380 Å and the angles 90.00°, 90.00° and 120.00°. The asymmetric unit holds Er at (0.0000, 0.0000, 0.0000) and Si at (0.6667, 0.3333, 0.5000).

The total energy comes out at -10.51 eV for the cell shown.

=====

Below is an optimized crystal structure of ZrCu2Ir, with properties calculated at the GGA-PBE level.

The structure belongs to space group F-43m (No. 216); the cell edges are 6.2702, 6.2702 and 6.2702 Å and the angles 90.00°, 90.00° and 90.00°. The asymmetric unit holds Zr at (0.0000, 0.0000, 0.0000), Cu at (0.0000, 0.0000, 0.5000), Cu at (0.2500, 0.2500, 0.2500) and Ir at (0.2500, 0.2500, 0.7500).

The total energy comes out at -103.37 eV for the cell shown. The value obtained for the energy relative to the elements is -0.252 eV/atom.

=====

Among the records above, which one has the lowest total energy?
ZrCu2Ir

=====

What did the first record say?
Below is an optimized crystal structure of ErSi, with properties calculated at the GGA-PBE level.

The structure belongs to space group P-6m2 (No. 187); the cell edges are 3.6025, 3.6025 and 4.1380 Å and the angles 90.00°, 90.00° and 120.00°. The asymmetric unit holds Er at (0.0000, 0.0000, 0.0000) and Si at (0.6667, 0.3333, 0.5000).

The total energy comes out at -10.51 eV for the cell shown.

=====

The highest total energy belongs to which entry?
ErSi

=====

Which value of total energy does entry 2 give?
-103.37 eV for the cell shown